Record 1
A relaxed Cd3GaNi crystal. Source: Alexandria, functional PBE.

```
Cd3GaNi
1.0
5.0341 0.0000 0.0000
0.0000 5.0341 0.0000
0.0000 0.0000 5.0341
Cd Ga Ni
3 1 1
Cartesian
0.0000 0.0000 2.5171
0.0000 2.5171 0.0000
2.5171 0.0000 0.0000
0.0000 0.0000 0.0000
2.5171 2.5171 2.5171
```

## Properties
Energy relative to the elements: 0.783 eV/atom
Uncorrected energy: -7.64 eV/cell
Distance to the lowest polymorph of the same formula: 0.543 eV per atom
ρ: 6.1 g/cm³
Density of states at the Fermi level: 0.696 states/eV per atom

***

Record 2
A relaxed KZn2Re crystal. Source: Alexandria, functional PBE.

```
KZn2Re
1.0
3.4121 0.0000 0.0000
0.0000 3.4121 0.0000
0.0000 0.0000 8.0182
K Zn Re
1 2 1
Cartesian
0.0000 0.0000 0.0000
0.0000 0.0000 3.4963
1.7061 1.7061 5.2978
1.7061 1.7061 2.7512
```

## Properties
Energy relative to the elements: 0.836 eV/atom
Uncorrected energy: -12.75 eV/cell
Distance to the lowest polymorph of the same formula: 0.349 eV per atom
ρ: 6.3 g/cm³
Density of states at the Fermi level: 0.930 states/eV per atom

***

Record 3
A relaxed Tm8AlNi2 crystal. Source: Alexandria, functional PBE.

```
Tm8AlNi2
1.0
4.2596 -6.5133 0.0000
4.2596 6.5133 0.0000
-1.3082 0.0000 5.0191
Tm Al Ni
8 1 2
Cartesian
0.9540 1.6627 2.9015
4.2596 3.3188 0.0000
0.9540 -1.6627 2.9015
3.0235 0.0000 0.9678
4.1874 0.0000 4.0513
6.2569 1.6627 2.1177
4.2596 -3.3188 0.0000
6.2569 -1.6627 2.1177
0.0000 0.0000 0.0000
3.6055 2.4986 2.5096
3.6055 -2.4986 2.5096
```

## Properties
Energy relative to the elements: -0.161 eV/atom
Uncorrected energy: -52.85 eV/cell
ρ: 8.9 g/cm³
Density of states at the Fermi level: 1.262 states/eV per atom

***

Record 4
A relaxed Ac3Pm2Pb7 crystal. Source: Alexandria, functional PBE.

```
Ac3Pm2Pb7
1.0
3.0040 -11.6548 0.0000
3.0040 11.6548 0.0000
0.0000 0.0000 6.1454
Ac Pm Pb
3 2 7
Cartesian
0.0000 0.0000 0.0000
3.0040 7.6746 0.0000
3.0040 -7.6746 0.0000
3.0040 3.1695 3.0727
3.0040 -3.1695 3.0727
3.0040 9.7615 3.0727
3.0040 6.3532 3.0727
3.0040 1.9964 0.0000
3.0040 0.0000 3.0727
3.0040 -1.9964 0.0000
3.0040 -6.3532 3.0727
3.0040 -9.7615 3.0727
```

## Properties
Energy relative to the elements: -0.290 eV/atom
Uncorrected energy: -51.27 eV/cell
ρ: 9.3 g/cm³
Density of states at the Fermi level: 0.631 states/eV per atom

***

Record 5
A relaxed KCoTe3 crystal. Source: Alexandria, functional PBE.

```
KCoTe3
1.0
5.9582 0.0000 0.0000
0.0000 5.9582 0.0000
0.0000 0.0000 5.9582
K Co Te
1 1 3
Cartesian
0.0000 0.0000 0.0000
2.9791 2.9791 2.9791
0.0000 0.0000 2.9791
0.0000 2.9791 0.0000
2.9791 0.0000 0.0000
```

## Properties
Uncorrected energy: -10.40 eV/cell
E_form (uncorrected): 1.445 eV per atom
Distance to the lowest polymorph of the same formula: 1.530 eV per atom
ρ: 3.8 g/cm³
Density of states at the Fermi level: 1.485 states/eV per atom

***

Record 6
A relaxed Pu3ThS4 crystal. Source: Alexandria, functional PBE.

```
Pu3ThS4
1.0
6.8397 0.0000 0.0000
0.0000 3.9492 0.0000
-2.2782 0.0000 6.5615
Pu Th S
3 1 4
Cartesian
0.0000 0.0000 0.0000
-1.1391 1.9746 3.2808
2.2807 0.0000 3.2808
3.4198 1.9746 0.0000
-0.0223 0.0000 4.8662
1.1153 1.9746 1.6654
3.4462 1.9746 4.8961
4.5837 0.0000 1.6953
```

## Properties
Uncorrected energy: -81.24 eV/cell
E_form (uncorrected): -1.790 eV per atom
Distance to the lowest polymorph of the same formula: 0.000 eV per atom
ρ: 10.2 g/cm³
Density of states at the Fermi level: 2.390 states/eV per atom